(1)
VASP calculation (GGA-PBE) on a relaxed structure of SiRh.

a b c (Å): 5.592 3.097 6.439
angles (deg): 90.00 90.00 90.00
Element x y z (fractional)
Si 0.184 0.250 0.056
Si 0.316 0.750 0.556
Si 0.684 0.250 0.444
Si 0.816 0.750 0.944
Rh 0.002 0.250 0.703
Rh 0.498 0.750 0.203
Rh 0.502 0.250 0.797
Rh 0.998 0.750 0.297

For the energy, the calculation gives -7.206 eV per atom. As for the volume: 28 Å³/f.u. Its uncorrected formation energy is -0.82 eV per atom. Its crystal system is orthorhombic.

(2)
VASP calculation (GGA-PBE) on a relaxed structure of Si2Rh.

a b c (Å): 4.875 4.875 6.488
angles (deg): 116.19 116.19 37.37
Element x y z (fractional)
Si 0.032 0.032 0.312
Si 0.363 0.363 0.981
Si 0.637 0.637 0.019
Si 0.968 0.968 0.688
Rh 0.316 0.316 0.349
Rh 0.684 0.684 0.651

For the energy, the calculation gives -6.426 eV per atom. As for the volume: 41 Å³/f.u. Its uncorrected formation energy is -0.36 eV per atom. Its crystal system is monoclinic.

(3)
VASP calculation (GGA-PBE) on a relaxed structure of SiRh.

a b c (Å): 6.514 6.514 6.514
angles (deg): 90.00 90.00 90.00
Element x y z (fractional)
Si 0.000 0.250 0.500
Si 0.000 0.750 0.500
Si 0.250 0.500 0.000
Si 0.500 0.000 0.250
Si 0.500 0.000 0.750
Si 0.750 0.500 0.000
Rh 0.000 0.500 0.250
Rh 0.000 0.500 0.750
Rh 0.250 0.000 0.500
Rh 0.500 0.250 0.000
Rh 0.500 0.750 0.000
Rh 0.750 0.000 0.500

For the energy, the calculation gives -6.476 eV per atom. As for the volume: 46 Å³/f.u. Its uncorrected formation energy is -0.09 eV per atom. Its crystal system is cubic.

(4)
VASP calculation (GGA-PBE) on a relaxed structure of Si2Rh.

a b c (Å): 14.209 14.209 14.209
angles (deg): 165.76 165.76 20.19
Element x y z (fractional)
Si 0.111 0.361 0.750
Si 0.283 0.533 0.750
Si 0.361 0.111 0.250
Si 0.467 0.717 0.750
Si 0.533 0.283 0.250
Si 0.639 0.889 0.750
Si 0.717 0.467 0.250
Si 0.889 0.639 0.250
Rh 0.039 0.789 0.250
Rh 0.211 0.961 0.250
Rh 0.789 0.039 0.750
Rh 0.961 0.211 0.750

For the energy, the calculation gives -6.202 eV per atom. As for the volume: 43 Å³/f.u. Its uncorrected formation energy is -0.14 eV per atom. Its crystal system is tetragonal.

(5)
VASP calculation (GGA-PBE) on a relaxed structure of SiRh4.

a b c (Å): 7.111 7.111 7.111
angles (deg): 152.11 152.11 39.86
Element x y z (fractional)
Si 0.000 0.000 0.000
Rh 0.250 0.750 0.500
Rh 0.405 0.405 0.000
Rh 0.595 0.595 0.000
Rh 0.750 0.250 0.500

For the energy, the calculation gives -6.642 eV per atom. The polymorph energy (0 for the lowest one) comes out at 614 meV per atom. As for the volume: 79 Å³/f.u. Its uncorrected formation energy is 0.32 eV per atom. Its crystal system is tetragonal.

(6)
VASP calculation (GGA-PBE) on a relaxed structure of Si2Rh.

a b c (Å): 4.781 4.781 5.549
angles (deg): 91.36 91.36 43.57
Element x y z (fractional)
Si 0.000 0.000 0.000
Si 0.001 0.001 0.427
Si 0.307 0.307 0.855
Si 0.741 0.741 0.135
Rh 0.291 0.291 0.439
Rh 0.580 0.580 0.743

For the energy, the calculation gives -6.369 eV per atom. As for the volume: 44 Å³/f.u. Its uncorrected formation energy is -0.30 eV per atom. Its crystal system is monoclinic.